The following is a DFT calculation (GGA-PBE) of crystalline RbInSi at its relaxed geometry.

Properties
The uncorrected formation energy comes out at 0.05 eV/atom.

Geometry as CIF:
```
data_RbInSi
_chemical_formula_sum 'Rb4 In4 Si4'
_symmetry_space_group_name_H-M 'P n m a'
_symmetry_Int_Tables_number 62
_cell_length_a 8.6622
_cell_length_b 4.9178
_cell_length_c 7.9516
_cell_angle_alpha 90.00
_cell_angle_beta 90.00
_cell_angle_gamma 90.00
loop_
_symmetry_equiv_pos_as_xyz
'x,y,z'
'-x,-y,-z'
'-x+1/2,-y,z+1/2'
'x+1/2,y,-z+1/2'
'x+1/2,-y+1/2,-z+1/2'
'-x+1/2,y+1/2,z+1/2'
'-x,y+1/2,-z'
'x,-y+1/2,z'
loop_
_atom_site_label
_atom_site_fract_x
_atom_site_fract_y
_atom_site_fract_z
_atom_site_occupancy
Rb1 0.0075 0.2500 0.1600 1
In1 0.1570 0.2500 0.5882 1
Si1 0.1686 0.7500 0.3997 1
```



The following is a DFT calculation (GGA-PBE) of crystalline HfNb2Bi at its relaxed geometry.

Properties
Its energy relative to the elements is 0.3 eV/f.u.

Geometry as CIF:
```
data_HfNb2Bi
_chemical_formula_sum 'Hf1 Nb2 Bi1'
_symmetry_space_group_name_H-M 'P 4/m m m'
_symmetry_Int_Tables_number 123
_symmetry_space_group_name_Hall '-P 4 2'
_cell_length_a 4.2564
_cell_length_b 4.2564
_cell_length_c 4.5185
_cell_angle_alpha 90.00
_cell_angle_beta 90.00
_cell_angle_gamma 90.00
loop_
_atom_site_label
_atom_site_fract_x
_atom_site_fract_y
_atom_site_fract_z
_atom_site_occupancy
Hf1 0.0000 0.0000 0.0000 1
Nb1 0.0000 0.5000 0.5000 1
Bi1 0.5000 0.5000 0.0000 1
```



Number 2 is which compound? HfNb2Bi